Tl3Ag3BiI8: optimized geometry, GGA-PBE.

## Properties
Fermi-level density of states in states/eV/cell: 0.27
Space group: No. 12
Formation energy from raw total energies in meV/atom: -348

a = 9.4541 Å, b = 9.4541 Å, c = 9.5755 Å
α = 120.00°, β = 120.00°, γ = 55.75°
Last column: nearest neighbours and their distance in Å.
Atoms (fractional coordinates):
Tl: 0.0000 0.0000 0.0000  6 I 3.50-3.54
Tl: 0.0000 0.5000 0.5000  6 I 3.47-3.59
Tl: 0.5000 0.0000 0.5000  6 I 3.47-3.59
Ag: 0.0000 0.5000 0.0000  4 I 2.98-3.06
Ag: 0.5000 0.0000 0.0000  4 I 2.98-3.06
Ag: 0.5000 0.5000 0.5000  6 I 3.02-3.37
Bi: 0.0000 0.0000 0.5000  4 I 3.12
I: 0.2500 0.7345 0.2702  2 Ag 3.02-3.35, 1 Bi 3.12
I: 0.2563 0.2563 0.2273  3 Ag 3.06-3.37
I: 0.2655 0.7500 0.7298  2 Ag 3.02-3.35, 1 Bi 3.12
I: 0.2727 0.2727 0.8155  2 Ag 2.98
I: 0.7273 0.7273 0.1845  2 Ag 2.98
I: 0.7345 0.2500 0.2702  2 Ag 3.02-3.35, 1 Bi 3.12
I: 0.7437 0.7437 0.7727  3 Ag 3.06-3.37
I: 0.7500 0.2655 0.7298  2 Ag 3.02-3.35, 1 Bi 3.12